[1]
Material: Ag4Au3
Method: DFT, PBE
State: optimized geometry

The energy of formation from the pure elements is -0.044 eV/atom. The calculation puts the volume at 125.4 Å³ per cell.

a = 2.9186 Å, b = 4.1932 Å, c = 10.5602 Å
α = 101.45°, β = 97.94°, γ = 90.00°
Closest atoms and distances in Å follow each position.
Atoms (fractional coordinates):
1 Ag 0.7143 0.2143 0.4285  7 Ag 2.92-2.94, 5 Au 2.92-2.94
2 Ag 0.2857 0.7857 0.5715  7 Ag 2.92-2.94, 5 Au 2.92-2.94
3 Ag 0.4285 0.9285 0.8570  4 Ag 2.92-2.93, 8 Au 2.95
4 Ag 0.5715 0.0715 0.1430  4 Ag 2.92-2.93, 8 Au 2.95
5 Au 0.8568 0.3568 0.7135  3 Au 2.92-2.94, 9 Ag 2.92-2.95
6 Au 0.0000 0.5000 0.0000  4 Au 2.92-2.94, 8 Ag 2.95
7 Au 0.1432 0.6432 0.2865  3 Au 2.92-2.94, 9 Ag 2.92-2.95

***

[2]
Material: CuI2Cl2
Method: DFT, PBE
State: optimized geometry

Its uncorrected formation energy is -238.3 meV/atom. The calculation puts the volume at 193.9 Å³ per cell.

a = 4.9827 Å, b = 6.4693 Å, c = 7.4825 Å
α = 56.14°, β = 94.50°, γ = 103.93°
Closest atoms and distances in Å follow each position.
Atoms (fractional coordinates):
1 Cu 0.2000 0.0002 0.0000  2 Cl 2.16
2 I 0.6042 0.4195 0.8629  1 Cu 2.66, 1 I 2.79, 1 Cl 2.97
3 I 0.7957 0.5806 0.1369  1 Cu 2.66, 1 I 2.79, 1 Cl 2.97
4 Cl 0.0857 0.8669 0.3259  1 Cu 2.16
5 Cl 0.3142 0.1327 0.6743  1 Cu 2.16

***

[3]
Material: CaIr2Se
Method: DFT, PBE
State: optimized geometry

Its uncorrected formation energy is 276.9 meV/atom. The calculation puts the volume at 72.5 Å³ per cell.

a = 4.6815 Å, b = 4.6815 Å, c = 4.6815 Å
α = 60.00°, β = 60.00°, γ = 60.00°
Closest atoms and distances in Å follow each position.
Atoms (fractional coordinates):
1 Ca 0.5000 0.5000 0.5000  4 Se 2.87, 4 Ir 2.87
2 Ir 0.0000 0.0000 0.0000  4 Se 2.87, 4 Ir 2.87
3 Ir 0.2500 0.2500 0.2500  4 Ca 2.87, 4 Ir 2.87
4 Se 0.7500 0.7500 0.7500  4 Ca 2.87, 4 Ir 2.87

***

[4]
Material: Na10B13C7
Method: DFT, PBE
State: optimized geometry

The energy of formation from the pure elements is 0.090 eV/atom. The calculation puts the volume at 305.6 Å³ per cell.

a = 11.4969 Å, b = 11.4969 Å, c = 9.8897 Å
α = 107.43°, β = 107.43°, γ = 14.19°
Closest atoms and distances in Å follow each position.
Atoms (fractional coordinates):
1 Na 0.4011 0.4011 0.7997  8 B 2.66-2.76, 4 C 2.68-2.73, 6 Na 2.84-2.90
2 Na 0.4996 0.4996 0.5011  8 B 2.63-2.74, 4 C 2.66-2.76, 6 Na 2.84-2.90
3 Na 0.1995 0.1995 0.4007  10 B 2.67-2.81, 2 C 2.75-2.78, 6 Na 2.84-2.92
4 Na 0.2998 0.2998 0.1015  4 C 2.67-2.72, 8 B 2.69-2.82, 6 Na 2.84-2.90
5 Na 0.9995 0.9995 0.0003  6 B 2.63-2.70, 6 C 2.66-2.69, 6 Na 2.84-2.89
6 Na 0.1008 0.1008 0.6971  8 B 2.66-2.79, 4 C 2.70-2.74, 6 Na 2.84-2.91
7 Na 0.8006 0.8006 0.6012  8 B 2.65-2.76, 4 C 2.70-2.71, 6 Na 2.84-2.92
8 Na 0.9000 0.9000 0.2996  7 B 2.66-2.75, 5 C 2.68-2.70, 6 Na 2.84-2.90
9 Na 0.5991 0.5991 0.1995  7 B 2.62-2.74, 5 C 2.66-2.72, 6 Na 2.84-2.91
10 Na 0.7006 0.7006 0.9001  8 B 2.64-2.75, 4 C 2.72-2.74, 6 Na 2.84-2.91
11 B 0.9196 0.9196 0.5884  3 B 1.73-1.76
12 B 0.0131 0.0131 0.2763  3 C 1.63-1.66
13 B 0.9890 0.9890 0.7277  2 C 1.62, 1 B 1.76
14 B 0.7168 0.7168 0.1846  3 B 1.74-1.75
15 B 0.8193 0.8193 0.8881  3 C 1.64
16 B 0.7863 0.7863 0.3218  2 C 1.62, 1 B 1.75
17 B 0.6825 0.6825 0.6149  3 B 1.75-1.82
18 B 0.6103 0.6103 0.4713  2 C 1.63, 1 B 1.82
19 B 0.5833 0.5833 0.9176  3 C 1.62
20 B 0.4162 0.4162 0.0818  3 C 1.63-1.65
21 B 0.3807 0.3807 0.5106  1 C 1.60, 2 B 1.73
22 B 0.2230 0.2230 0.6957  1 C 1.62, 2 B 1.75
23 B 0.1769 0.1769 0.1051  1 C 1.58, 2 B 1.74
24 C 0.0785 0.0785 0.4085  3 B 1.63-1.66
25 C 0.8843 0.8843 0.0181  3 B 1.63-1.64
26 C 0.5194 0.5194 0.7887  3 B 1.62
27 C 0.3176 0.3176 0.3834  3 B 1.60-1.62
28 C 0.4816 0.4816 0.2122  3 B 1.63-1.65
29 C 0.1140 0.1140 0.9805  3 B 1.58-1.62
30 C 0.2871 0.2871 0.8237  3 B 1.62-1.64

***

[5]
Material: KBaSn2
Method: DFT, PBE
State: optimized geometry

The energy of formation from the pure elements is -0.475 eV/atom. The calculation puts the volume at 329.2 Å³ per cell.

a = 8.3809 Å, b = 8.3802 Å, c = 7.8589 Å
α = 90.00°, β = 90.00°, γ = 143.39°
Closest atoms and distances in Å follow each position.
Atoms (fractional coordinates):
1 K 0.2236 0.7765 0.7500  6 Sn 3.71-3.90
2 K 0.7764 0.2235 0.2500  6 Sn 3.71-3.90
3 Ba 0.0561 0.9439 0.2500  8 Sn 3.64-3.78
4 Ba 0.9439 0.0561 0.7500  8 Sn 3.64-3.78
5 Sn 0.4128 0.5872 0.4356  2 Sn 2.92-2.95
6 Sn 0.5872 0.4128 0.5644  2 Sn 2.92-2.95
7 Sn 0.4128 0.5872 0.0644  2 Sn 2.92-2.95
8 Sn 0.5872 0.4128 0.9356  2 Sn 2.92-2.95

***

[6]
Material: Ho2TmPb
Method: DFT, PBE
State: optimized geometry

The energy of formation from the pure elements is 0.047 eV/atom. The calculation puts the volume at 127.0 Å³ per cell.

a = 3.5074 Å, b = 3.5074 Å, c = 12.0953 Å
α = 81.66°, β = 81.66°, γ = 60.00°
Closest atoms and distances in Å follow each position.
Atoms (fractional coordinates):
1 Pb 0.0000 0.0000 0.0000  2 Ho 3.17, 6 Pb 3.51
2 Tm 0.5000 0.5000 0.5000  6 Ho 3.45, 6 Tm 3.51
3 Ho 0.0886 0.0886 0.7343  1 Pb 3.17, 3 Tm 3.45, 6 Ho 3.51
4 Ho 0.9114 0.9114 0.2657  1 Pb 3.17, 3 Tm 3.45, 6 Ho 3.51

***

[7]
Material: K2AlCd
Method: DFT, PBE
State: optimized geometry

The energy of formation from the pure elements is 0.117 eV/atom. The calculation puts the volume at 165.1 Å³ per cell.

a = 4.8553 Å, b = 5.5322 Å, c = 6.7404 Å
α = 65.76°, β = 90.00°, γ = 90.00°
Closest atoms and distances in Å follow each position.
Atoms (fractional coordinates):
1 K 0.0000 0.9740 0.9268  3 Al 3.66-3.74, 4 Cd 3.90-3.91
2 K 0.5000 0.2752 0.3247  3 Cd 3.65-3.76, 4 Al 3.90
3 Al 0.0000 0.6693 0.5353  2 Cd 2.66
4 Cd 0.5000 0.5816 0.7132  2 Al 2.66

***

[8]
Material: Zn2Cu6Pt
Method: DFT, PBE
State: optimized geometry

The energy of formation from the pure elements is -0.144 eV/atom. The calculation puts the volume at 115.7 Å³ per cell.

a = 3.7696 Å, b = 4.5592 Å, c = 7.8271 Å
α = 107.42°, β = 90.00°, γ = 114.42°
Closest atoms and distances in Å follow each position.
Atoms (fractional coordinates):
1 Zn 0.6707 0.3414 0.7258  10 Cu 2.58-2.68, 2 Pt 2.65
2 Zn 0.3293 0.6586 0.2742  10 Cu 2.58-2.68, 2 Pt 2.65
3 Cu 0.3346 0.6693 0.9461  9 Cu 2.57-2.65, 3 Zn 2.58-2.61
4 Cu 0.6654 0.3307 0.0539  9 Cu 2.57-2.65, 3 Zn 2.58-2.61
5 Cu 0.9982 0.9964 0.1588  8 Cu 2.50-2.63, 3 Zn 2.60-2.68, 1 Pt 2.67
6 Cu 0.6638 0.3276 0.3812  5 Cu 2.57-2.70, 4 Zn 2.62-2.68, 3 Pt 2.64-2.66
7 Cu 0.0018 0.0036 0.8412  8 Cu 2.50-2.63, 3 Zn 2.60-2.68, 1 Pt 2.67
8 Cu 0.3362 0.6724 0.6188  5 Cu 2.57-2.70, 4 Zn 2.62-2.68, 3 Pt 2.64-2.66
9 Pt 0.0000 0.0000 0.5000  8 Cu 2.64-2.67, 4 Zn 2.65

***

[9]
Material: Pr5P4Au
Method: DFT, PBE
State: optimized geometry

The energy of formation from the pure elements is -1.350 eV/atom. The calculation puts the volume at 268.4 Å³ per cell.

a = 4.2144 Å, b = 7.3563 Å, c = 9.4545 Å
α = 75.66°, β = 77.12°, γ = 73.35°
Closest atoms and distances in Å follow each position.
Atoms (fractional coordinates):
1 Pr 0.2060 0.9029 0.6852  5 P 2.89-2.99, 1 Au 3.11
2 Pr 0.7940 0.0971 0.3148  5 P 2.89-2.99, 1 Au 3.11
3 Pr 0.3903 0.3336 0.8858  4 P 2.87-3.00, 2 Au 3.18
4 Pr 0.0000 0.5000 0.5000  6 P 3.00-3.01
5 Pr 0.6097 0.6664 0.1142  4 P 2.87-3.00, 2 Au 3.18
6 P 0.5979 0.2013 0.6030  6 Pr 2.89-3.00
7 P 0.2048 0.3900 0.2005  6 Pr 2.87-3.01
8 P 0.7952 0.6100 0.7995  6 Pr 2.87-3.01
9 P 0.4021 0.7987 0.3970  6 Pr 2.89-3.00
10 Au 0.0000 0.0000 0.0000  6 Pr 3.11-3.18

***

[10]
Material: Ta2ReIr
Method: DFT, PBE
State: optimized geometry

The energy of formation from the pure elements is 0.625 eV/atom. The calculation puts the volume at 70.4 Å³ per cell.

a = 5.8351 Å, b = 5.8351 Å, c = 5.8351 Å
α = 58.55°, β = 152.48°, γ = 129.41°
Closest atoms and distances in Å follow each position.
Atoms (fractional coordinates):
1 Ta 0.0000 0.2554 0.2554  1 Ir 2.49, 1 Re 2.60, 2 Ta 2.78
2 Ta 0.0000 0.7446 0.7446  1 Ir 2.49, 1 Re 2.60, 2 Ta 2.78
3 Re 0.0000 0.0000 0.0000  2 Ta 2.60, 2 Re 2.78, 4 Ir 2.85
4 Ir 0.0000 0.5000 0.5000  2 Ta 2.49, 2 Ir 2.78

***

[11]
Material: ZrReGe2
Method: DFT, PBE
State: optimized geometry

The energy of formation from the pure elements is -0.108 eV/atom. The calculation puts the volume at 66.4 Å³ per cell.

a = 4.5453 Å, b = 4.5453 Å, c = 4.5453 Å
α = 60.00°, β = 60.00°, γ = 60.00°
Closest atoms and distances in Å follow each position.
Atoms (fractional coordinates):
1 Re 0.5000 0.5000 0.5000  8 Ge 2.78
2 Ge 0.2500 0.2500 0.2500  4 Zr 2.78, 4 Re 2.78
3 Ge 0.7500 0.7500 0.7500  4 Re 2.78, 4 Zr 2.78
4 Zr 0.0000 0.0000 0.0000  8 Ge 2.78

***

[12]
Material: Pm7SnPb4
Method: DFT, PBE
State: optimized geometry

The energy of formation from the pure elements is -0.390 eV/atom. The calculation puts the volume at 383.9 Å³ per cell.

a = 5.8989 Å, b = 8.8350 Å, c = 9.1855 Å
α = 60.03°, β = 71.27°, γ = 70.50°
Closest atoms and distances in Å follow each position.
Atoms (fractional coordinates):
1 Pm 0.8382 0.9340 0.3897  3 Pb 3.17-3.43, 1 Sn 3.19, 2 Pm 3.38-3.47
2 Pm 0.1618 0.0660 0.6103  3 Pb 3.17-3.43, 1 Sn 3.19, 2 Pm 3.38-3.47
3 Pm 0.0647 0.5934 0.2771  1 Sn 3.18, 3 Pb 3.29-3.50, 2 Pm 3.38-3.49
4 Pm 0.9353 0.4066 0.7229  1 Sn 3.18, 3 Pb 3.29-3.50, 2 Pm 3.38-3.49
5 Pm 0.2788 0.6034 0.8389  4 Pb 3.19-3.36, 1 Pm 3.47
6 Pm 0.5000 0.0000 0.0000  2 Sn 2.95, 2 Pb 3.19
7 Pm 0.7212 0.3966 0.1611  4 Pb 3.19-3.36, 1 Pm 3.47
8 Sn 0.0000 0.0000 0.0000  6 Pm 2.95-3.19
9 Pb 0.5658 0.2870 0.5814  1 Pb 3.19, 6 Pm 3.36-3.50
10 Pb 0.4342 0.7130 0.4186  1 Pb 3.19, 6 Pm 3.36-3.50
11 Pb 0.7209 0.7633 0.7948  6 Pm 3.17-3.31
12 Pb 0.2791 0.2367 0.2052  6 Pm 3.17-3.31

***

Question: What is the formula in the fourth record?
Answer: Na10B13C7